(1)
A plane-wave DFT calculation with GGA-PBE was carried out for a relaxed structure of PmDy2I.

## Properties
volume = 384.1 Å³/cell
symmetry = R-3m (166)
final energy = -50.786 eV per cell
energy relative to the lowest polymorph listed for this composition = 0 meV/atom
uncorrected formation energy = -356 meV/atom

Cell: 3.748 3.748 31.576 Å, 90.00 90.00 120.00°
Positions (direct):
Pm1 0.000 0.000 0.000
Pm2 0.333 0.667 0.667
Pm3 0.667 0.333 0.333
Dy1 0.000 0.000 0.245
Dy2 0.000 0.000 0.755
Dy3 0.333 0.667 0.422
Dy4 0.333 0.667 0.912
Dy5 0.667 0.333 0.088
Dy6 0.667 0.333 0.578
I1 0.000 0.000 0.500
I2 0.333 0.667 0.167
I3 0.667 0.333 0.833

=====

(2)
A plane-wave DFT calculation with GGA-PBE was carried out for a relaxed structure of PmDyPtI.

## Properties
volume = 366.7 Å³/cell
symmetry = R3m (160)
final energy = -64.209 eV per cell
uncorrected formation energy = -1115 meV/atom

Cell: 4.196 4.196 24.052 Å, 90.00 90.00 120.00°
Positions (direct):
Pm1 0.000 0.000 0.000
Pm2 0.333 0.667 0.667
Pm3 0.667 0.333 0.333
Dy1 0.000 0.000 0.211
Dy2 0.333 0.667 0.878
Dy3 0.667 0.333 0.544
Pt1 0.000 0.000 0.603
Pt2 0.333 0.667 0.269
Pt3 0.667 0.333 0.936
I1 0.000 0.000 0.775
I2 0.333 0.667 0.442
I3 0.667 0.333 0.108

=====

(3)
A plane-wave DFT calculation with GGA-PBE was carried out for a relaxed structure of PmDySI.

## Properties
volume = 212.2 Å³/cell
symmetry = Cm (8)
final energy = -41.154 eV per cell
uncorrected formation energy = -1387 meV/atom

Cell: 6.865 3.966 8.119 Å, 90.00 106.30 90.00°
Positions (direct):
Pm1 0.000 0.000 0.000
Pm2 0.500 0.500 0.000
Dy1 0.295 0.500 0.387
Dy2 0.795 0.000 0.387
S1 0.401 0.000 0.204
S2 0.901 0.500 0.204
I1 0.227 0.000 0.681
I2 0.727 0.500 0.681

=====

(4)
A plane-wave DFT calculation with GGA-PBE was carried out for a relaxed structure of PmDySeI.

## Properties
volume = 224.4 Å³/cell
symmetry = Cm (8)
final energy = -38.825 eV per cell
uncorrected formation energy = -1256 meV/atom

Cell: 6.938 4.016 8.376 Å, 90.00 105.95 90.00°
Positions (direct):
Pm1 0.000 0.000 0.000
Pm2 0.500 0.500 0.000
Dy1 0.194 0.000 0.583
Dy2 0.694 0.500 0.583
Se1 0.094 0.500 0.783
Se2 0.594 0.000 0.783
I1 0.267 0.500 0.302
I2 0.767 0.000 0.302

=====

(5)
A plane-wave DFT calculation with GGA-PBE was carried out for a relaxed structure of PrDyI2.

## Properties
volume = 375.3 Å³/cell
symmetry = R3m (160)
final energy = -46.749 eV per cell
energy relative to the lowest polymorph listed for this composition = 0 meV/atom
uncorrected formation energy = -775 meV/atom

Cell: 3.840 3.840 29.388 Å, 90.00 90.00 120.00°
Positions (direct):
Pr1 0.000 0.000 0.000
Pr2 0.333 0.667 0.667
Pr3 0.667 0.333 0.333
Dy1 0.000 0.000 0.163
Dy2 0.333 0.667 0.829
Dy3 0.667 0.333 0.496
I1 0.000 0.000 0.579
I2 0.000 0.000 0.750
I3 0.333 0.667 0.246
I4 0.333 0.667 0.417
I5 0.667 0.333 0.083
I6 0.667 0.333 0.912

=====

(6)
A plane-wave DFT calculation with GGA-PBE was carried out for a relaxed structure of PrDyI2.

## Properties
volume = 432.2 Å³/cell
symmetry = R-3m (166)
final energy = -46.135 eV per cell
energy relative to the lowest polymorph listed for this composition = 51 meV/atom
uncorrected formation energy = -724 meV/atom

Cell: 3.920 3.920 32.477 Å, 90.00 90.00 120.00°
Positions (direct):
Pr1 0.000 0.000 0.000
Pr2 0.333 0.667 0.667
Pr3 0.667 0.333 0.333
Dy1 0.000 0.000 0.500
Dy2 0.333 0.667 0.167
Dy3 0.667 0.333 0.833
I1 0.000 0.000 0.405
I2 0.000 0.000 0.595
I3 0.333 0.667 0.072
I4 0.333 0.667 0.261
I5 0.667 0.333 0.739
I6 0.667 0.333 0.928

=====

(7)
A plane-wave DFT calculation with GGA-PBE was carried out for a relaxed structure of PrDy2I.

## Properties
volume = 394.0 Å³/cell
symmetry = R3m (160)
final energy = -50.389 eV per cell
energy relative to the lowest polymorph listed for this composition = 0 meV/atom
uncorrected formation energy = -316 meV/atom

Cell: 3.780 3.780 31.838 Å, 90.00 90.00 120.00°
Positions (direct):
Pr1 0.000 0.000 0.000
Pr2 0.333 0.667 0.667
Pr3 0.667 0.333 0.333
Dy1 0.000 0.000 0.577
Dy2 0.000 0.000 0.757
Dy3 0.333 0.667 0.244
Dy4 0.333 0.667 0.423
Dy5 0.667 0.333 0.090
Dy6 0.667 0.333 0.911
I1 0.000 0.000 0.167
I2 0.333 0.667 0.834
I3 0.667 0.333 0.500

=====

(8)
A plane-wave DFT calculation with GGA-PBE was carried out for a relaxed structure of PrDy2I.

## Properties
volume = 400.8 Å³/cell
symmetry = R-3m (166)
final energy = -47.240 eV per cell
energy relative to the lowest polymorph listed for this composition = 262 meV/atom
uncorrected formation energy = -53 meV/atom

Cell: 3.614 3.614 35.434 Å, 90.00 90.00 120.00°
Positions (direct):
Pr1 0.000 0.000 0.000
Pr2 0.333 0.667 0.667
Pr3 0.667 0.333 0.333
Dy1 0.000 0.000 0.096
Dy2 0.000 0.000 0.904
Dy3 0.333 0.667 0.570
Dy4 0.333 0.667 0.763
Dy5 0.667 0.333 0.237
Dy6 0.667 0.333 0.430
I1 0.000 0.000 0.500
I2 0.333 0.667 0.167
I3 0.667 0.333 0.833

=====

Copy entry 6 word for word.
A plane-wave DFT calculation with GGA-PBE was carried out for a relaxed structure of PrDyI2.

## Properties
volume = 432.2 Å³/cell
symmetry = R-3m (166)
final energy = -46.135 eV per cell
energy relative to the lowest polymorph listed for this composition = 51 meV/atom
uncorrected formation energy = -724 meV/atom

Cell: 3.920 3.920 32.477 Å, 90.00 90.00 120.00°
Positions (direct):
Pr1 0.000 0.000 0.000
Pr2 0.333 0.667 0.667
Pr3 0.667 0.333 0.333
Dy1 0.000 0.000 0.500
Dy2 0.333 0.667 0.167
Dy3 0.667 0.333 0.833
I1 0.000 0.000 0.405
I2 0.000 0.000 0.595
I3 0.333 0.667 0.072
I4 0.333 0.667 0.261
I5 0.667 0.333 0.739
I6 0.667 0.333 0.928

=====

- Which of these has the lowest uncorrected formation energy?
  PmDySI

=====

- The lowest final energy belongs to which entry?
  PmDyPtI

=====

- Which of these has the highest volume?
  number 6